The following is a DFT calculation (PBE) of a geometry-optimized YBeCd structure.

Cell lengths 4.4634, 4.4634, 3.6056 Å; angles 90.00, 90.00, 120.00 degrees
With the nearest neighbours (Å) after each atom.
Space group P-6m2 (No. 187)
One atom of each set of equivalent atoms:
Y 0.0000 0.0000 0.0000 [1 per cell]  6 Be 3.14, 6 Cd 3.14
Be 0.6667 0.3333 0.5000 [1 per cell]  3 Cd 2.58
Cd 0.3333 0.6667 0.5000 [1 per cell]  3 Be 2.58

Output
Formation enthalpy at 0 K, meV per atom: -71
Crystal system: hexagonal

=====

The following is a DFT calculation (PBE) of a geometry-optimized YBe2Cd structure.

Cell lengths 3.5248, 4.2443, 5.1370 Å; angles 90.00, 90.00, 90.00 degrees
With the nearest neighbours (Å) after each atom.
Space group Pmmm (No. 47)
One atom of each set of equivalent atoms:
Y 0.0000 0.0000 0.0000 [1 per cell]  8 Be 2.99, 4 Cd 3.11
Be 0.5000 0.5000 0.2228 [2 per cell]  1 Be 2.29, 2 Cd 2.56
Cd 0.5000 0.0000 0.5000 [1 per cell]  4 Be 2.56

Output
Formation enthalpy at 0 K, meV per atom: 252
Crystal system: orthorhombic